1.
32
Lattice="-5.048 -1.352 -4.809 2.489 -9.680 0.109 -9.332 -2.283 10.438" Properties=species:S:1:pos:R:3 comment="LaDy2Er5 (PBE-GGA, relaxed)" total_energy_ev_per_atom=-4.594 space_group="Pbam, No. 55" magmom_total_mub_per_cell=0.0 crystal_system=orthorhombic formation_enthalpy_0k_ev_per_fu=0.19 vol_a3_per_cell=1007.0 pbc="T T T"
La -7.544 -4.410 9.159
La 0.701 -7.552 1.387
La -2.875 -3.283 3.940
La -3.969 -8.680 6.606
Dy -8.438 -2.151 1.626
Dy -0.032 -5.182 -1.162
Dy -5.942 -1.483 4.003
Dy -2.527 -5.850 -3.539
Dy -6.494 -9.356 4.203
Dy -5.398 -3.958 1.535
Dy -1.824 -8.229 -1.016
Dy -10.067 -5.086 6.753
Er -3.772 -1.010 -3.593
Er -4.698 -6.323 4.057
Er -1.277 -0.342 -1.216
Er -7.193 -6.991 1.680
Er -5.210 -3.849 6.550
Er -1.634 -8.114 3.996
Er -0.545 -2.703 1.332
Er -6.299 -9.259 9.215
Er -7.733 -4.528 4.146
Er -4.158 -8.787 1.591
Er -3.070 -3.376 -1.073
Er -8.821 -9.938 6.810
Er -9.526 -7.560 4.289
Er -4.860 -6.423 -0.928
Er -3.609 -0.915 1.392
Er -5.788 -11.732 6.721
Er -2.365 -5.755 1.448
Er -7.031 -6.892 6.665
Er -8.282 -12.400 4.345
Er -6.103 -1.583 -0.984

2.
16
Lattice="-4.931 -0.965 0.232 0.390 -2.964 -4.046 3.657 -15.820 11.942" Properties=species:S:1:pos:R:3 comment="La3DyEr12 (PBE-GGA, relaxed)" total_energy_ev_per_atom=-4.599 space_group="P4/mmm, No. 123" magmom_total_mub_per_cell=0.0 crystal_system=tetragonal formation_enthalpy_0k_ev_per_fu=0.56 vol_a3_per_cell=510.0 pbc="T T T"
La 0.914 -3.954 2.984
La 1.828 -7.910 5.971
La 2.743 -11.866 8.957
Dy 0.000 0.000 0.000
Er -2.271 -1.964 -1.907
Er -1.364 -5.885 1.052
Er -0.442 -9.874 4.064
Er 0.480 -13.864 7.075
Er -2.020 -2.410 1.570
Er -1.097 -6.403 4.585
Er -0.177 -10.382 7.588
Er 0.746 -14.376 10.603
Er 0.641 -3.409 -0.568
Er 1.564 -7.403 2.446
Er 2.483 -11.381 5.450
Er 3.407 -15.375 8.464

3.
10
Lattice="-2.145 1.385 2.671 2.327 -1.316 2.551 12.931 21.446 -0.735" Properties=species:S:1:pos:R:3 comment="La5Dy4Er (PBE-GGA, relaxed)" total_energy_ev_per_atom=-4.736 space_group="P4/mmm, No. 123" magmom_total_mub_per_cell=0.0 crystal_system=tetragonal formation_enthalpy_0k_ev_per_fu=0.25 vol_a3_per_cell=342.0 pbc="T T T"
La 1.374 2.163 2.538
La 3.966 6.462 2.391
La 6.557 10.758 2.243
La 9.147 15.054 2.096
La 11.739 19.353 1.949
Dy 2.578 4.276 -0.147
Dy 5.170 8.574 -0.294
Dy 7.761 12.872 -0.441
Dy 10.353 17.171 -0.589
Er 0.000 0.000 0.000

4.
3
Lattice="-2.370 -1.444 2.115 -2.188 -2.868 -4.409 4.180 -2.308 3.108" Properties=species:S:1:pos:R:3 comment="LaDyEr (PBE-GGA, relaxed)" total_energy_ev_per_atom=-4.619 space_group="P-6m2, No. 187" magmom_total_mub_per_cell=0.0 crystal_system=hexagonal formation_enthalpy_0k_ev_per_fu=0.24 polymorph_energy_mev_per_atom=57 vol_a3_per_cell=98.0 pbc="T T T"
Dy -1.644 -3.643 -0.494
La -0.395 -0.241 0.353
Er 1.662 -2.735 0.955

5.
10
Lattice="-4.125 -0.717 -4.398 -4.972 -6.307 1.500 -6.808 4.262 1.498" Properties=species:S:1:pos:R:3 comment="La4Dy5Er (PBE-GGA, relaxed)" total_energy_ev_per_atom=-4.505 space_group="I4mm, No. 107" magmom_total_mub_per_cell=0.0 crystal_system=tetragonal formation_enthalpy_0k_ev_per_fu=2.24 polymorph_energy_mev_per_atom=33 vol_a3_per_cell=349.4 pbc="T T T"
La -8.025 0.539 -0.432
La -11.122 -1.931 -1.316
La -4.278 -0.744 0.455
La -7.375 -3.214 -0.430
Dy -5.056 -2.929 -2.827
Dy -4.855 2.549 0.283
Dy -10.719 -5.254 -1.329
Dy -10.517 0.223 1.781
Dy -2.877 -0.500 -3.067
Er -0.902 -0.157 -0.962

6.
9
Lattice="7.329 0.000 0.000 3.664 6.347 0.000 3.664 2.116 6.374" Properties=species:S:1:pos:R:3 comment="LaDy6Er2 (PBE-GGA, relaxed)" total_energy_ev_per_atom=-4.306 space_group="R3m, No. 160" magmom_total_mub_per_cell=0.0 crystal_system=trigonal formation_enthalpy_0k_ev_per_fu=2.91 polymorph_energy_mev_per_atom=200 vol_a3_per_cell=296.5 pbc="T T T"
La 3.664 2.116 0.296
Dy 9.239 3.128 4.437
Dy 7.329 6.438 4.437
Dy 5.418 3.129 4.437
Dy 3.664 4.501 1.856
Dy 1.599 0.922 1.856
Dy 5.731 0.924 1.856
Er 10.993 6.347 4.662
Er 7.329 4.231 1.679

7.
11
Lattice="6.053 -2.198 -1.535 -1.495 9.684 2.711 -1.495 5.878 8.160" Properties=species:S:1:pos:R:3 comment="LaDy2Er8 (PBE-GGA, relaxed)" total_energy_ev_per_atom=-4.430 space_group="C2/m, No. 12" magmom_total_mub_per_cell=0.0 crystal_system=monoclinic formation_enthalpy_0k_ev_per_fu=1.91 polymorph_energy_mev_per_atom=52 vol_a3_per_cell=355.2 pbc="T T T"
La 0.000 0.000 0.000
Dy 3.196 1.898 1.326
Dy -0.132 11.466 8.009
Er 0.196 4.953 5.357
Er 0.196 6.734 2.807
Er 2.868 8.412 3.978
Er -0.118 8.553 5.975
Er 2.868 6.630 6.529
Er 0.399 3.344 2.336
Er 2.665 10.020 6.999
Er 3.182 4.811 3.360

8.
11
Lattice="-5.284 5.080 4.827 3.883 -1.438 5.765 1.634 5.574 -4.079" Properties=species:S:1:pos:R:3 comment="La3Dy7Er (PBE-GGA, relaxed)" total_energy_ev_per_atom=-4.516 space_group="P3m1, No. 156" magmom_total_mub_per_cell=0.0 crystal_system=trigonal formation_enthalpy_0k_ev_per_fu=1.88 polymorph_energy_mev_per_atom=50 vol_a3_per_cell=382.9 pbc="T T T"
La -1.379 6.046 4.621
La -0.562 8.832 2.583
La -3.319 6.765 1.740
Dy 1.356 5.029 -1.834
Dy 0.543 2.254 0.197
Dy 2.477 1.529 3.082
Dy 1.165 1.986 6.256
Dy -0.769 2.702 3.386
Dy 1.978 4.762 4.225
Dy 3.289 4.313 1.036
Er 0.047 5.483 1.337

9.
12
Lattice="-5.862 -0.304 -0.726 -3.263 -9.553 6.253 -3.710 3.475 4.408" Properties=species:S:1:pos:R:3 comment="La4DyEr7 (PBE-GGA, relaxed)" total_energy_ev_per_atom=-4.414 space_group="C2/m, No. 12" magmom_total_mub_per_cell=0.0 crystal_system=monoclinic formation_enthalpy_0k_ev_per_fu=3.29 vol_a3_per_cell=410.8 pbc="T T T"
La -6.327 -0.601 3.150
La -6.508 -5.780 6.784
La -9.722 -3.901 7.851
La -3.113 -2.480 2.083
Dy 0.000 0.000 0.000
Er -9.485 -7.287 7.355
Er -3.350 0.905 2.579
Er -3.375 -4.968 5.237
Er -9.460 -1.413 4.698
Er -6.638 -2.312 6.385
Er -2.931 -0.152 -0.363
Er -6.196 -4.070 3.550

10.
26
Lattice="-0.043 -0.568 -3.529 -10.506 -5.055 0.942 -8.884 17.945 -2.779" Properties=species:S:1:pos:R:3 comment="La2Dy5Er6 (PBE-GGA, relaxed)" total_energy_ev_per_atom=-4.531 space_group="Pbam, No. 55" magmom_total_mub_per_cell=0.0 crystal_system=orthorhombic formation_enthalpy_0k_ev_per_fu=1.34 vol_a3_per_cell=845.2 pbc="T T T"
La -5.976 3.333 -0.463
La -13.413 9.557 -1.373
La -10.706 -0.250 0.172
La -8.683 13.141 -2.008
Dy -7.145 6.237 -2.726
Dy -12.287 6.086 -2.639
Dy -8.885 -3.387 -1.156
Dy -10.548 15.710 -4.209
Dy -8.769 1.763 -1.987
Dy -10.664 10.560 -3.379
Dy -2.956 3.159 -2.283
Dy -16.477 9.164 -3.083
Dy -5.274 -2.811 -1.293
Dy -4.464 8.689 -3.154
Er -4.024 6.127 -0.937
Er -15.365 6.763 -0.900
Er -7.271 -0.452 0.162
Er -12.118 13.342 -1.998
Er -4.450 0.296 -1.804
Er -14.983 12.027 -3.562
Er -11.977 2.363 -2.044
Er -7.456 9.959 -3.322
Er -9.652 4.787 -0.652
Er -9.738 8.103 -1.184
Er -1.299 1.054 -0.154
Er -18.090 11.837 -1.683

11.
15
Lattice="9.064 0.000 0.000 4.532 7.850 0.000 4.532 2.617 7.082" Properties=species:S:1:pos:R:3 comment="La6DyEr8 (PBE-GGA, relaxed)" total_energy_ev_per_atom=-4.595 space_group="R-3, No. 148" magmom_total_mub_per_cell=0.0 crystal_system=trigonal formation_enthalpy_0k_ev_per_fu=1.74 vol_a3_per_cell=503.9 pbc="T T T"
La 12.230 9.379 6.080
La 2.525 2.197 1.002
La 5.173 4.565 1.002
La 12.956 5.902 6.080
La 15.604 8.269 6.080
La 5.899 1.088 1.002
Dy 0.000 0.000 0.000
Er 8.791 1.986 2.948
Er 11.740 3.373 4.133
Er 6.116 3.847 4.133
Er 9.064 5.233 1.909
Er 9.064 5.233 5.173
Er 12.013 6.620 2.948
Er 6.389 7.094 2.948
Er 9.338 8.480 4.133

12.
10
Lattice="3.718 0.000 0.000 0.000 9.530 -0.038 0.000 0.046 9.530" Properties=species:S:1:pos:R:3 comment="La3Dy4Er3 (PBE-GGA, relaxed)" total_energy_ev_per_atom=-4.604 space_group="Amm2, No. 38" magmom_total_mub_per_cell=0.0 crystal_system=orthorhombic formation_enthalpy_0k_ev_per_fu=0.84 vol_a3_per_cell=337.7 pbc="T T T"
La 0.000 4.833 0.016
La 0.000 9.517 4.660
La 1.859 1.690 7.871
Dy 0.000 5.972 3.552
Dy 0.000 3.652 5.892
Dy 0.000 8.331 8.354
Dy 0.000 1.149 1.235
Er 1.859 7.884 1.623
Er 1.859 3.156 3.109
Er 1.859 6.439 6.364